Gd3In3NiAgPd (PBE-GGA, optimized geometry); SG = P-6 (174); calculated total energy = -41.1 eV per cell; size of the total moment = 0.000 μB per atom
1.0
7.6940 0.0000 0.0000
-3.8470 6.6632 0.0000
0.0000 0.0000 3.9208
Gd In Ni Ag Pd
3 3 1 1 1
direct
0.0138 0.6026 0.0000
0.3974 0.4112 0.0000
0.5888 0.9862 0.0000
0.2467 0.0021 0.5000
0.7554 0.7533 0.5000
0.9979 0.2446 0.5000
0.0000 0.0000 0.0000
0.6667 0.3333 0.5000
0.3333 0.6667 0.5000